No. 1
DFT (PBE) results for a relaxed structure of SbHO2F.

Output
Total magnetization in μB per cell: 0.0
DOS at the Fermi energy in states/eV per atom: 0.05
Electronic total energy in eV/atom: -5.20

Cell lengths 3.8615, 4.2305, 5.0396 Å; angles 114.29, 96.38, 90.12 degrees
Sites, in units of the cell vectors:
Sb (0.3861, 0.7009, 0.4214)
H (0.2531, 0.0444, 0.1008)
O (0.3593, 0.1452, 0.3061)
O (0.9014, 0.7593, 0.5379)
F (0.3271, 0.4894, 0.9885)

***

No. 2
DFT (PBE) results for a relaxed structure of Sr3NpU3As8.

Output
Total magnetization in μB per cell: 7.0
DOS at the Fermi energy in states/eV per atom: 1.92
Electronic total energy in eV/atom: -6.70

Cell lengths 8.3818, 8.3820, 8.6514 Å; angles 118.97, 90.00, 120.00 degrees
Site moments in Bohr magnetons follow the coordinates.
Sites, in units of the cell vectors:
Sr (0.0000, 0.0000, 0.0000)  -0.01
Sr (0.0000, 0.5000, 0.0000)  -0.01
Sr (0.5000, 0.5000, 0.0000)  -0.01
Np (0.0000, 0.0000, 0.5000)  3.30
U (0.5000, 0.0000, 0.5000)  1.52
U (0.5000, 0.5000, 0.5000)  1.52
U (0.0000, 0.5000, 0.5000)  1.52
As (0.2608, 0.5216, 0.2825)  -0.06
As (0.7392, 0.4784, 0.7175)  -0.06
As (0.7610, 0.5220, 0.2910)  -0.09
As (0.2390, 0.4780, 0.7090)  -0.09
As (0.7610, 0.0300, 0.2910)  -0.09
As (0.2390, 0.9700, 0.7090)  -0.09
As (0.2690, 0.0300, 0.2910)  -0.09
As (0.7310, 0.9700, 0.7090)  -0.09

***

No. 3
DFT (PBE) results for a relaxed structure of Al2Cd3Ge3O12.

Output
Total magnetization in μB per cell: 0.0
DOS at the Fermi energy in states/eV per atom: 0.00
Electronic total energy in eV/atom: -6.04
ΔE_f (raw) in eV/atom: -1.860

Cell lengths 10.6131, 10.6131, 10.6131 Å; angles 109.47, 109.47, 109.47 degrees
Sites, in units of the cell vectors:
Al (0.0000, 0.0000, 0.0000)
Al (0.5000, 0.0000, 0.5000)
Al (0.0000, 0.5000, 0.5000)
Al (0.5000, 0.0000, 0.0000)
Al (0.5000, 0.5000, 0.0000)
Al (0.5000, 0.5000, 0.5000)
Al (0.0000, 0.0000, 0.5000)
Al (0.0000, 0.5000, 0.0000)
Cd (0.2500, 0.3750, 0.1250)
Cd (0.7500, 0.6250, 0.8750)
Cd (0.7500, 0.1250, 0.3750)
Cd (0.1250, 0.2500, 0.3750)
Cd (0.3750, 0.7500, 0.1250)
Cd (0.2500, 0.8750, 0.6250)
Cd (0.8750, 0.7500, 0.6250)
Cd (0.6250, 0.2500, 0.8750)
Cd (0.3750, 0.1250, 0.2500)
Cd (0.6250, 0.8750, 0.7500)
Cd (0.1250, 0.3750, 0.7500)
Cd (0.8750, 0.6250, 0.2500)
Ge (0.2500, 0.6250, 0.3750)
Ge (0.7500, 0.3750, 0.6250)
Ge (0.7500, 0.8750, 0.1250)
Ge (0.3750, 0.2500, 0.6250)
Ge (0.6250, 0.7500, 0.3750)
Ge (0.2500, 0.1250, 0.8750)
Ge (0.1250, 0.7500, 0.8750)
Ge (0.8750, 0.2500, 0.1250)
Ge (0.6250, 0.3750, 0.2500)
Ge (0.3750, 0.6250, 0.7500)
Ge (0.8750, 0.1250, 0.7500)
Ge (0.1250, 0.8750, 0.2500)
O (0.4861, 0.3842, 0.3064)
O (0.5139, 0.6158, 0.6936)
O (0.5778, 0.1797, 0.1936)
O (0.9222, 0.1158, 0.6019)
O (0.3064, 0.4861, 0.3842)
O (0.3203, 0.9222, 0.3064)
O (0.4222, 0.8203, 0.8064)
O (0.0778, 0.8842, 0.3981)
O (0.6936, 0.5139, 0.6158)
O (0.6797, 0.0778, 0.6936)
O (0.0139, 0.3203, 0.8981)
O (0.1936, 0.5778, 0.1797)
O (0.1158, 0.0139, 0.1936)
O (0.9861, 0.6797, 0.1019)
O (0.8064, 0.4222, 0.8203)
O (0.8842, 0.9861, 0.8064)
O (0.6019, 0.9222, 0.1158)
O (0.1797, 0.4861, 0.6019)
O (0.3981, 0.0778, 0.8842)
O (0.8203, 0.5139, 0.3981)
O (0.8981, 0.0139, 0.3203)
O (0.3842, 0.5778, 0.8981)
O (0.1019, 0.9861, 0.6797)
O (0.6158, 0.4222, 0.1019)
O (0.3842, 0.3064, 0.4861)
O (0.5778, 0.8981, 0.3842)
O (0.6158, 0.6936, 0.5139)
O (0.4222, 0.1019, 0.6158)
O (0.1158, 0.6019, 0.9222)
O (0.0139, 0.1936, 0.1158)
O (0.8842, 0.3981, 0.0778)
O (0.9861, 0.8064, 0.8842)
O (0.3203, 0.8981, 0.0139)
O (0.9222, 0.3064, 0.3203)
O (0.6797, 0.1019, 0.9861)
O (0.0778, 0.6936, 0.6797)
O (0.1797, 0.1936, 0.5778)
O (0.4861, 0.6019, 0.1797)
O (0.8203, 0.8064, 0.4222)
O (0.5139, 0.3981, 0.8203)
O (0.3064, 0.3203, 0.9222)
O (0.6936, 0.6797, 0.0778)
O (0.1936, 0.1158, 0.0139)
O (0.8064, 0.8842, 0.9861)
O (0.8981, 0.3842, 0.5778)
O (0.1019, 0.6158, 0.4222)
O (0.6019, 0.1797, 0.4861)
O (0.3981, 0.8203, 0.5139)

***

No. 4
DFT (PBE) results for a relaxed structure of ZnCrW2.

Output
Total magnetization in μB per cell: 0.0
DOS at the Fermi energy in states/eV per atom: 0.46
Electronic total energy in eV/atom: -9.01

Cell lengths 2.6833, 2.6833, 8.6349 Å; angles 90.00, 90.00, 107.98 degrees
Sites, in units of the cell vectors:
Cr (0.5000, 0.5000, 0.7501)
W (0.0000, 0.0000, 0.9873)
W (0.5000, 0.5000, 0.2507)
Zn (0.0000, 0.0000, 0.5118)

***

No. 5
DFT (PBE) results for a relaxed structure of Os4Ru3W2.

Output
Total magnetization in μB per cell: 0.0
DOS at the Fermi energy in states/eV per atom: 0.84
Electronic total energy in eV/atom: -10.81

Cell lengths 5.5049, 6.5144, 8.5096 Å; angles 78.36, 115.68, 90.91 degrees
Sites, in units of the cell vectors:
Os (0.4314, 0.8597, 0.2561)
Os (0.9826, 0.8074, 0.9664)
Os (0.5686, 0.1403, 0.7439)
Os (0.0174, 0.1926, 0.0336)
Os (0.7891, 0.1470, 0.3899)
Os (0.6378, 0.5171, 0.8222)
Os (0.2109, 0.8530, 0.6101)
Os (0.3622, 0.4829, 0.1778)
Ru (0.9273, 0.8666, 0.2547)
Ru (0.4834, 0.8087, 0.9652)
Ru (0.0727, 0.1334, 0.7453)
Ru (0.5166, 0.1913, 0.0348)
Ru (0.2598, 0.5380, 0.4722)
Ru (0.7402, 0.4620, 0.5278)
W (0.2851, 0.1578, 0.3882)
W (0.1520, 0.5173, 0.8243)
W (0.7149, 0.8422, 0.6118)
W (0.8480, 0.4827, 0.1757)

***

No. 6
DFT (PBE) results for a relaxed structure of LaBi3Pd12.

Output
Total magnetization in μB per cell: 0.0
DOS at the Fermi energy in states/eV per atom: 0.43
Electronic total energy in eV/atom: -5.30

Cell lengths 4.1791, 4.1791, 16.5154 Å; angles 90.00, 90.00, 90.00 degrees
Sites, in units of the cell vectors:
La (0.0000, 0.0000, 0.0000)
Bi (0.0000, 0.0000, 0.2516)
Bi (0.0000, 0.0000, 0.5000)
Bi (0.0000, 0.0000, 0.7484)
Pd (0.5000, 0.5000, 0.0000)
Pd (0.5000, 0.5000, 0.2561)
Pd (0.5000, 0.5000, 0.5000)
Pd (0.5000, 0.5000, 0.7439)
Pd (0.5000, 0.0000, 0.1297)
Pd (0.5000, 0.0000, 0.3768)
Pd (0.5000, 0.0000, 0.6232)
Pd (0.5000, 0.0000, 0.8703)
Pd (0.0000, 0.5000, 0.1297)
Pd (0.0000, 0.5000, 0.3768)
Pd (0.0000, 0.5000, 0.6232)
Pd (0.0000, 0.5000, 0.8703)

***

No. 7
DFT (PBE) results for a relaxed structure of CaZr2Cr.

Output
Total magnetization in μB per cell: 0.0
DOS at the Fermi energy in states/eV per atom: 0.98
Electronic total energy in eV/atom: -6.76
ΔE to the lowest computed polymorph in meV per atom: 179

Cell lengths 9.9726, 9.9726, 9.9726 Å; angles 19.13, 19.13, 19.13 degrees
Sites, in units of the cell vectors:
Cr (0.7500, 0.7500, 0.7500)
Ca (0.2500, 0.2500, 0.2500)
Zr (0.0200, 0.0200, 0.0200)
Zr (0.4800, 0.4800, 0.4800)

***

No. 8
DFT (PBE) results for a relaxed structure of Zr2CoCu.

Output
Total magnetization in μB per cell: 0.0
DOS at the Fermi energy in states/eV per atom: 0.86
Electronic total energy in eV/atom: -7.31

Cell lengths 4.1336, 3.3367, 5.2955 Å; angles 70.14, 90.00, 90.00 degrees
Sites, in units of the cell vectors:
Co (0.0000, 0.7085, 0.4649)
Cu (0.5000, 0.5407, 0.7852)
Zr (0.0000, 0.9783, 0.9055)
Zr (0.5000, 0.2724, 0.3444)

***

No. 9
DFT (PBE) results for a relaxed structure of CaAgBr3.

Output
Total magnetization in μB per cell: 0.0
Electronic total energy in eV/atom: -2.97
ΔE_f (raw) in eV/atom: -0.991
ΔE to the lowest computed polymorph in meV per atom: 354

Cell lengths 5.6160, 5.6160, 5.6160 Å; angles 90.00, 90.00, 90.00 degrees
Sites, in units of the cell vectors:
Ca (0.0000, 0.0000, 0.0000)
Ag (0.5000, 0.5000, 0.5000)
Br (0.0000, 0.5000, 0.0000)
Br (0.0000, 0.0000, 0.5000)
Br (0.5000, 0.0000, 0.0000)

***

No. 10
DFT (PBE) results for a relaxed structure of Ac6CuPb3.

Output
Total magnetization in μB per cell: 0.0
DOS at the Fermi energy in states/eV per atom: 1.06
Electronic total energy in eV/atom: -4.23

Cell lengths 7.6908, 10.0846, 10.0846 Å; angles 102.27, 90.00, 90.00 degrees
Sites, in units of the cell vectors:
Ac (0.0933, 0.7817, 0.6812)
Ac (0.5933, 0.6812, 0.7817)
Ac (0.1881, 0.4633, 0.8687)
Ac (0.6881, 0.8687, 0.4633)
Ac (0.3175, 0.9448, 0.0552)
Ac (0.7119, 0.2929, 0.7071)
Ac (0.2119, 0.7071, 0.2929)
Ac (0.8175, 0.0552, 0.9448)
Ac (0.1881, 0.1313, 0.5367)
Ac (0.6881, 0.5367, 0.1313)
Ac (0.0933, 0.3188, 0.2183)
Ac (0.5933, 0.2183, 0.3188)
Cu (0.1554, 0.1479, 0.8521)
Cu (0.6554, 0.8521, 0.1479)
Pb (0.4507, 0.9958, 0.7387)
Pb (0.9507, 0.7387, 0.9958)
Pb (0.3364, 0.4831, 0.5169)
Pb (0.8364, 0.5169, 0.4831)
Pb (0.9507, 0.0042, 0.2613)
Pb (0.4507, 0.2613, 0.0042)

***

No. 11
DFT (PBE) results for a relaxed structure of Tm12InRh6.

Output
Total magnetization in μB per cell: 0.0
DOS at the Fermi energy in states/eV per atom: 0.92
Electronic total energy in eV/atom: -5.93

Cell lengths 8.4351, 8.4351, 8.4351 Å; angles 109.47, 109.47, 109.47 degrees
Sites, in units of the cell vectors:
Tm (0.2985, 0.1093, 0.8107)
Tm (0.2985, 0.4878, 0.1893)
Tm (0.7015, 0.5122, 0.8107)
Tm (0.7015, 0.8907, 0.1893)
Tm (0.1093, 0.8107, 0.2985)
Tm (0.4878, 0.1893, 0.2985)
Tm (0.5122, 0.8107, 0.7015)
Tm (0.8907, 0.1893, 0.7015)
Tm (0.8107, 0.2985, 0.1093)
Tm (0.1893, 0.2985, 0.4878)
Tm (0.8107, 0.7015, 0.5122)
Tm (0.1893, 0.7015, 0.8907)
In (0.0000, 0.0000, 0.0000)
Rh (0.3691, 0.5000, 0.8691)
Rh (0.6309, 0.5000, 0.1309)
Rh (0.5000, 0.8691, 0.3691)
Rh (0.5000, 0.1309, 0.6309)
Rh (0.8691, 0.3691, 0.5000)
Rh (0.1309, 0.6309, 0.5000)

***

No. 12
DFT (PBE) results for a relaxed structure of Tm3Hg2Au4.

Output
Total magnetization in μB per cell: 0.0
DOS at the Fermi energy in states/eV per atom: 0.47
Electronic total energy in eV/atom: -3.66

Cell lengths 5.2239, 8.9150, 8.9150 Å; angles 76.95, 81.40, 81.40 degrees
Sites, in units of the cell vectors:
Tm (0.0846, 0.9568, 0.7170)
Tm (0.4154, 0.2830, 0.0432)
Tm (0.9154, 0.0432, 0.2830)
Tm (0.5846, 0.7170, 0.9568)
Tm (0.2500, 0.3604, 0.6396)
Tm (0.7500, 0.6396, 0.3604)
Hg (0.1945, 0.7315, 0.4957)
Hg (0.3055, 0.5043, 0.2685)
Hg (0.8055, 0.2685, 0.5043)
Hg (0.6945, 0.4957, 0.7315)
Au (0.5281, 0.0685, 0.8210)
Au (0.9719, 0.1790, 0.9315)
Au (0.4719, 0.9315, 0.1790)
Au (0.0281, 0.8210, 0.0685)
Au (0.6454, 0.8570, 0.5947)
Au (0.8546, 0.4053, 0.1430)
Au (0.3546, 0.1430, 0.4053)
Au (0.1454, 0.5947, 0.8570)

***

No. 13
DFT (PBE) results for a relaxed structure of MnNb2Tc.

Output
Total magnetization in μB per cell: 0.0
DOS at the Fermi energy in states/eV per atom: 0.29
Electronic total energy in eV/atom: -10.13
ΔE to the lowest computed polymorph in meV per atom: 5

Cell lengths 4.4370, 4.4370, 4.4370 Å; angles 60.00, 60.00, 60.00 degrees
Sites, in units of the cell vectors:
Nb (0.2500, 0.2500, 0.2500)
Nb (0.7500, 0.7500, 0.7500)
Mn (0.5000, 0.5000, 0.5000)
Tc (0.0000, 0.0000, 0.0000)

***

No. 14
DFT (PBE) results for a relaxed structure of GaReTeN2.

Output
Total magnetization in μB per cell: 0.1
DOS at the Fermi energy in states/eV per atom: 0.82
Electronic total energy in eV/atom: -6.50
ΔE_f (raw) in eV/atom: 0.552
ΔE to the lowest computed polymorph in meV per atom: 96

Cell lengths 3.8797, 5.6591, 3.8797 Å; angles 90.00, 90.00, 90.00 degrees
Sites, in units of the cell vectors:
Re (0.0000, 0.0000, 0.0000)
Te (0.5000, 0.5000, 0.5000)
Ga (0.0000, 0.5000, 0.0000)
N (0.0000, 0.0000, 0.5000)
N (0.5000, 0.0000, 0.0000)

***

No. 15
DFT (PBE) results for a relaxed structure of ZrBW.

Output
Total magnetization in μB per cell: 0.0
DOS at the Fermi energy in states/eV per atom: 0.51
Electronic total energy in eV/atom: -9.66
ΔE to the lowest computed polymorph in meV per atom: 156

Cell lengths 3.1076, 4.8697, 5.9235 Å; angles 79.23, 80.54, 88.91 degrees
Sites, in units of the cell vectors:
B (0.6944, 0.9328, 0.9804)
B (0.1893, 0.7471, 0.0420)
Zr (0.2862, 0.0790, 0.6501)
Zr (0.1127, 0.2083, 0.1780)
W (0.7659, 0.5385, 0.8134)
W (0.6034, 0.6542, 0.3607)

***

No. 16
DFT (PBE) results for a relaxed structure of P3WN.

Output
Total magnetization in μB per cell: 2.2
DOS at the Fermi energy in states/eV per atom: 0.77
Electronic total energy in eV/atom: -6.04
ΔE_f (raw) in eV/atom: 1.465
ΔE to the lowest computed polymorph in meV per atom: 592

Cell lengths 4.6984, 4.6984, 4.6984 Å; angles 90.00, 90.00, 90.00 degrees
Site moments in Bohr magnetons follow the coordinates.
Sites, in units of the cell vectors:
P (0.0000, 0.5000, 0.0000)  -0.08
P (0.0000, 0.0000, 0.5000)  -0.09
P (0.5000, 0.0000, 0.0000)  -0.06
W (0.0000, 0.0000, 0.0000)  0.11
N (0.5000, 0.5000, 0.5000)  1.68

***

No. 17
DFT (PBE) results for a relaxed structure of Sr2AgPd4Pb3.

Output
Total magnetization in μB per cell: 0.0
DOS at the Fermi energy in states/eV per atom: 0.37
Electronic total energy in eV/atom: -4.25

Cell lengths 4.7770, 4.7770, 10.9071 Å; angles 90.00, 90.00, 90.00 degrees
Sites, in units of the cell vectors:
Sr (0.5000, 0.0000, 0.2504)
Sr (0.0000, 0.5000, 0.7496)
Ag (0.5000, 0.5000, 0.5000)
Pd (0.5000, 0.5000, 0.0000)
Pd (0.0000, 0.0000, 0.0000)
Pd (0.5000, 0.0000, 0.6301)
Pd (0.0000, 0.5000, 0.3699)
Pb (0.0000, 0.0000, 0.5000)
Pb (0.5000, 0.0000, 0.8770)
Pb (0.0000, 0.5000, 0.1230)

***

No. 18
DFT (PBE) results for a relaxed structure of Be2AgPN.

Output
Total magnetization in μB per cell: 1.8
DOS at the Fermi energy in states/eV per atom: 0.58
Electronic total energy in eV/atom: -2.86
ΔE_f (raw) in eV/atom: 1.953

Cell lengths 4.4238, 4.6041, 4.4238 Å; angles 90.00, 90.00, 90.00 degrees
Site moments in Bohr magnetons follow the coordinates.
Sites, in units of the cell vectors:
P (0.0000, 0.5000, 0.0000)  -0.14
Be (0.0000, 0.0000, 0.5000)  0.02
Be (0.5000, 0.0000, 0.0000)  0.02
Ag (0.0000, 0.0000, 0.0000)  0.00
N (0.5000, 0.5000, 0.5000)  1.41

***

No. 19
DFT (PBE) results for a relaxed structure of Na2CrH6.

Output
Total magnetization in μB per cell: 2.4
DOS at the Fermi energy in states/eV per atom: 1.51
Electronic total energy in eV/atom: -3.45

Cell lengths 5.1593, 5.1593, 5.1593 Å; angles 60.00, 60.00, 60.00 degrees
Site moments in Bohr magnetons follow the coordinates.
Sites, in units of the cell vectors:
Cr (0.0000, 0.0000, 0.0000)  2.19
H (0.2324, 0.7676, 0.2324)  -0.01
H (0.7676, 0.2324, 0.2324)  -0.01
H (0.2324, 0.7676, 0.7676)  -0.01
H (0.7676, 0.2324, 0.7676)  -0.01
H (0.7676, 0.7676, 0.2324)  -0.01
H (0.2324, 0.2324, 0.7676)  -0.01
Na (0.7500, 0.7500, 0.7500)  0.01
Na (0.2500, 0.2500, 0.2500)  0.01

***

No. 20
DFT (PBE) results for a relaxed structure of KInPb4.

Output
Total magnetization in μB per cell: 0.0
DOS at the Fermi energy in states/eV per atom: 0.36
Electronic total energy in eV/atom: -3.14
ΔE to the lowest computed polymorph in meV per atom: 0

Cell lengths 6.6197, 6.6197, 6.6197 Å; angles 60.00, 60.00, 60.00 degrees
Sites, in units of the cell vectors:
In (0.2500, 0.2500, 0.2500)
K (0.0000, 0.0000, 0.0000)
Pb (0.1252, 0.6249, 0.6249)
Pb (0.6249, 0.6249, 0.6249)
Pb (0.6249, 0.1252, 0.6249)
Pb (0.6249, 0.6249, 0.1252)